[1]
Material: PmZnAg3
Method: DFT, PBE-GGA
State: relaxed

Unit cell a=13.1521 b=13.1521 c=3.8592 alpha=90.00 beta=90.00 gamma=160.90
Last column: nearest neighbours and their distance in Å.
Positions (direct):
Pm1 0.1663 0.8337 0.0000  4 Zn 3.16, 6 Ag 3.22-3.45
Pm2 0.8337 0.1663 0.0000  4 Zn 3.16, 6 Ag 3.22-3.45
Zn1 0.3814 0.6186 0.5000  5 Ag 2.59-2.72
Zn2 0.6186 0.3814 0.5000  5 Ag 2.59-2.72
Ag1 0.0561 0.9439 0.5000  2 Zn 2.72, 5 Ag 2.91
Ag2 0.2810 0.7190 0.5000  1 Zn 2.60, 2 Ag 2.71
Ag3 0.4477 0.5523 0.0000  2 Zn 2.59, 1 Ag 2.71
Ag4 0.5523 0.4477 0.0000  2 Zn 2.59, 1 Ag 2.71
Ag5 0.7190 0.2810 0.5000  1 Zn 2.60, 2 Ag 2.71
Ag6 0.9439 0.0561 0.5000  2 Zn 2.72, 5 Ag 2.91

- ΔH_f (0 K): -0.11 eV/atom
- Energy above the most stable polymorph in this dataset: 116 meV per atom

[2]
Material: TbSm2Ru
Method: DFT, PBE-GGA
State: relaxed

Unit cell a=3.5703 b=3.5703 c=32.2043 alpha=90.00 beta=90.00 gamma=120.00
Last column: nearest neighbours and their distance in Å.
Positions (direct):
Tb1 0.0000 0.0000 0.0000  2 Sm 3.45, 6 Tb 3.57
Tb2 0.3333 0.6667 0.6667  2 Sm 3.45, 6 Tb 3.57
Tb3 0.6667 0.3333 0.3333  2 Sm 3.45, 6 Tb 3.57
Sm1 0.0000 0.0000 0.1071  3 Ru 2.82
Sm2 0.0000 0.0000 0.8929  3 Ru 2.82
Sm3 0.3333 0.6667 0.5596  3 Ru 2.82
Sm4 0.3333 0.6667 0.7738  3 Ru 2.82
Sm5 0.6667 0.3333 0.2262  3 Ru 2.82
Sm6 0.6667 0.3333 0.4404  3 Ru 2.82
Ru1 0.0000 0.0000 0.5000  6 Sm 2.82
Ru2 0.3333 0.6667 0.1667  6 Sm 2.82
Ru3 0.6667 0.3333 0.8333  6 Sm 2.82

- ΔH_f (0 K): 0.18 eV/atom
- Energy above the most stable polymorph in this dataset: 434 meV per atom

[3]
Material: TbGdHoEr
Method: DFT, PBE-GGA
State: relaxed

Unit cell a=7.9900 b=7.9900 c=7.9900 alpha=90.00 beta=90.00 gamma=90.00
Last column: nearest neighbours and their distance in Å.
Positions (direct):
Tb1 0.0000 0.0000 0.0000  4 Ho 3.46, 4 Er 3.46
Tb2 0.0000 0.5000 0.5000  4 Ho 3.46, 4 Er 3.46
Tb3 0.5000 0.0000 0.5000  4 Ho 3.46, 4 Er 3.46
Tb4 0.5000 0.5000 0.0000  4 Ho 3.46, 4 Er 3.46
Gd1 0.0000 0.0000 0.5000  4 Ho 3.46, 4 Er 3.46
Gd2 0.0000 0.5000 0.0000  4 Ho 3.46, 4 Er 3.46
Gd3 0.5000 0.0000 0.0000  4 Ho 3.46, 4 Er 3.46
Gd4 0.5000 0.5000 0.5000  4 Er 3.46, 4 Ho 3.46
Ho1 0.2500 0.2500 0.2500  4 Gd 3.46, 4 Tb 3.46
Ho2 0.2500 0.7500 0.7500  4 Gd 3.46, 4 Tb 3.46
Ho3 0.7500 0.2500 0.7500  4 Gd 3.46, 4 Tb 3.46
Ho4 0.7500 0.7500 0.2500  4 Gd 3.46, 4 Tb 3.46
Er1 0.2500 0.2500 0.7500  4 Gd 3.46, 4 Tb 3.46
Er2 0.2500 0.7500 0.2500  4 Gd 3.46, 4 Tb 3.46
Er3 0.7500 0.2500 0.2500  4 Gd 3.46, 4 Tb 3.46
Er4 0.7500 0.7500 0.7500  4 Gd 3.46, 4 Tb 3.46

- ΔH_f (0 K): 0.12 eV/atom

[4]
Material: Th2VSn
Method: DFT, PBE-GGA
State: relaxed

Unit cell a=3.4044 b=3.4044 c=33.7420 alpha=90.00 beta=90.00 gamma=120.00
Last column: nearest neighbours and their distance in Å.
Positions (direct):
Th1 0.0000 0.0000 0.0967  3 V 3.07, 1 Sn 3.26, 6 Th 3.40
Th2 0.0000 0.0000 0.9033  3 V 3.07, 1 Sn 3.26, 6 Th 3.40
Th3 0.3333 0.6667 0.5699  3 V 3.07, 1 Sn 3.26, 6 Th 3.40
Th4 0.3333 0.6667 0.7634  3 V 3.07, 1 Sn 3.26, 6 Th 3.40
Th5 0.6667 0.3333 0.2366  3 V 3.07, 1 Sn 3.26, 6 Th 3.40
Th6 0.6667 0.3333 0.4301  3 V 3.07, 1 Sn 3.26, 6 Th 3.40
V1 0.0000 0.0000 0.5000  6 Th 3.07, 6 V 3.40
V2 0.3333 0.6667 0.1667  6 Th 3.07, 6 V 3.40
V3 0.6667 0.3333 0.8333  6 Th 3.07, 6 V 3.40
Sn1 0.0000 0.0000 0.0000  2 Th 3.26, 6 Sn 3.40
Sn2 0.3333 0.6667 0.6667  2 Th 3.26, 6 Sn 3.40
Sn3 0.6667 0.3333 0.3333  2 Th 3.26, 6 Sn 3.40

- ΔH_f (0 K): 0.43 eV/atom

[5]
Material: LaYAu
Method: DFT, PBE-GGA
State: relaxed

Unit cell a=5.0370 b=7.4902 c=7.4902 alpha=111.67 beta=90.00 gamma=90.00
Last column: nearest neighbours and their distance in Å.
Positions (direct):
La1 0.0000 0.0000 0.0000  5 Au 3.15-3.23
La2 0.0000 0.2037 0.5937  3 Au 3.08-3.38
La3 0.0000 0.5937 0.2037  3 Au 3.08-3.38
Y1 0.5000 0.3199 0.3199  2 Au 2.95
Y2 0.5000 0.5727 0.8471  4 Au 2.84-3.12
Y3 0.5000 0.8471 0.5727  4 Au 2.84-3.12
Au1 0.0000 0.6256 0.6256  3 La 3.08-3.15, 4 Y 3.12
Au2 0.5000 0.2164 0.8992  3 Y 2.84-2.95
Au3 0.5000 0.8992 0.2164  3 Y 2.84-2.95

- ΔH_f (0 K): -0.57 eV/atom
- Energy above the most stable polymorph in this dataset: 11 meV per atom

[6]
Material: BaSrNbSbO6
Method: DFT, PBE-GGA
State: relaxed

Unit cell a=5.9956 b=6.0183 c=8.4903 alpha=89.64 beta=89.57 gamma=89.91
Last column: nearest neighbours and their distance in Å.
Positions (direct):
Ba1 0.0042 0.0217 0.2500  8 O 2.71-3.00
Ba2 0.9958 0.9783 0.7500  8 O 2.71-3.00
Sr1 0.4938 0.5299 0.2489  4 O 2.56-2.61
Sr2 0.5062 0.4701 0.7511  4 O 2.56-2.61
Nb1 0.0000 0.5000 0.5000  6 O 2.02-2.04
Nb2 0.5000 0.0000 0.0000  6 O 2.02-2.05
Sb1 0.0000 0.5000 0.0000  6 O 2.28-2.32
Sb2 0.5000 0.0000 0.5000  6 O 2.29-2.31
O1 0.0804 0.4939 0.7332  1 Nb 2.04
O2 0.2074 0.7618 0.4681  1 Nb 2.02
O3 0.2313 0.7990 0.0228  1 Nb 2.02
O4 0.2637 0.2963 0.4523  1 Nb 2.04
O5 0.3073 0.2738 0.0450  1 Nb 2.05
O6 0.4434 0.0414 0.7662  1 Nb 2.03
O7 0.5566 0.9586 0.2338  1 Nb 2.03
O8 0.6927 0.7262 0.9550  1 Nb 2.05
O9 0.7363 0.7037 0.5477  1 Nb 2.04
O10 0.7687 0.2010 0.9772  1 Nb 2.02
O11 0.7926 0.2382 0.5319  1 Nb 2.02
O12 0.9196 0.5061 0.2668  1 Nb 2.04

- ΔE_f (raw): -24.01 eV per formula unit

[7]
Material: AcDy6Ho3
Method: DFT, PBE-GGA
State: relaxed

Unit cell a=9.0887 b=9.0887 c=8.9602 alpha=90.00 beta=90.00 gamma=116.67
Last column: nearest neighbours and their distance in Å.
Positions (direct):
Ac1 0.2217 0.7783 0.5000  6 Dy 3.42-3.62, 1 Ho 3.66
Ac2 0.7783 0.2217 0.0000  6 Dy 3.42-3.62, 1 Ho 3.66
Dy1 0.0486 0.9514 0.2632  4 Dy 3.34-3.43, 1 Ac 3.42, 2 Ho 3.62
Dy2 0.1764 0.4692 0.7582  4 Dy 3.31-3.56, 3 Ho 3.39-3.68, 1 Ac 3.52
Dy3 0.1992 0.3134 0.0868  4 Ho 3.31-3.62, 4 Dy 3.31-3.56, 1 Ac 3.62
Dy4 0.2853 0.7147 0.1241  3 Ho 3.35-3.53, 2 Dy 3.39, 1 Ac 3.51
Dy5 0.3134 0.1992 0.5868  4 Ho 3.31-3.62, 4 Dy 3.31-3.56, 1 Ac 3.62
Dy6 0.4692 0.1764 0.2582  4 Dy 3.31-3.56, 3 Ho 3.39-3.68, 1 Ac 3.52
Dy7 0.5308 0.8236 0.7582  4 Dy 3.31-3.56, 3 Ho 3.39-3.68, 1 Ac 3.52
Dy8 0.6866 0.8008 0.0868  4 Ho 3.31-3.62, 4 Dy 3.31-3.56, 1 Ac 3.62
Dy9 0.7147 0.2853 0.6241  3 Ho 3.35-3.53, 2 Dy 3.39, 1 Ac 3.51
Dy10 0.8008 0.6866 0.5868  4 Ho 3.31-3.62, 4 Dy 3.31-3.56, 1 Ac 3.62
Dy11 0.8236 0.5308 0.2582  4 Dy 3.31-3.56, 3 Ho 3.39-3.68, 1 Ac 3.52
Dy12 0.9514 0.0486 0.7632  4 Dy 3.34-3.43, 1 Ac 3.42, 2 Ho 3.62
Ho1 0.0322 0.3130 0.4156  2 Ho 3.29-3.43, 6 Dy 3.31-3.62
Ho2 0.3130 0.0322 0.9156  2 Ho 3.29-3.43, 6 Dy 3.31-3.62
Ho3 0.4504 0.5496 0.3956  7 Dy 3.33-3.68, 2 Ho 3.43, 1 Ac 3.66
Ho4 0.5496 0.4504 0.8956  7 Dy 3.33-3.68, 2 Ho 3.43, 1 Ac 3.66
Ho5 0.6870 0.9678 0.4156  2 Ho 3.29-3.43, 6 Dy 3.31-3.62
Ho6 0.9678 0.6870 0.9156  2 Ho 3.29-3.43, 6 Dy 3.31-3.62

- ΔH_f (0 K): 0.14 eV/atom
- Energy above the most stable polymorph in this dataset: 0 meV per atom

[8]
Material: Sr5Pd2Pb
Method: DFT, PBE-GGA
State: relaxed

Unit cell a=9.7748 b=9.7748 c=9.7748 alpha=129.00 beta=129.00 gamma=75.01
Last column: nearest neighbours and their distance in Å.
Positions (direct):
Sr1 0.0000 0.0000 0.0000  4 Pd 3.35
Sr2 0.0344 0.5344 0.8385  3 Pd 3.24-3.26, 2 Pb 3.60
Sr3 0.1958 0.0344 0.5000  3 Pd 3.24-3.26, 2 Pb 3.60
Sr4 0.3042 0.8042 0.8385  3 Pd 3.24-3.26, 2 Pb 3.60
Sr5 0.4656 0.3042 0.5000  3 Pd 3.24-3.26, 2 Pb 3.60
Sr6 0.5000 0.5000 0.0000  4 Pd 3.35
Sr7 0.5344 0.6958 0.5000  3 Pd 3.24-3.26, 2 Pb 3.60
Sr8 0.6958 0.1958 0.1615  3 Pd 3.24-3.26, 2 Pb 3.60
Sr9 0.8042 0.9656 0.5000  3 Pd 3.24-3.26, 2 Pb 3.60
Sr10 0.9656 0.4656 0.1615  3 Pd 3.24-3.26, 2 Pb 3.60
Pd1 0.1212 0.3788 0.5000  1 Pd 2.88
Pd2 0.3788 0.8788 0.2577  1 Pd 2.88
Pd3 0.6212 0.1212 0.7423  1 Pd 2.88
Pd4 0.8788 0.6212 0.5000  1 Pd 2.88
Pb1 0.2500 0.2500 0.0000  10 Sr 3.60-3.88
Pb2 0.7500 0.7500 0.0000  10 Sr 3.60-3.88

- ΔH_f (0 K): -0.55 eV/atom

[9]
Material: LuTiGaAg
Method: DFT, PBE-GGA
State: relaxed

Unit cell a=6.7803 b=6.7803 c=6.7803 alpha=90.00 beta=90.00 gamma=90.00
Last column: nearest neighbours and their distance in Å.
Positions (direct):
Lu1 0.0000 0.0000 0.0000  4 Ag 2.94, 4 Ga 2.94
Lu2 0.0000 0.5000 0.5000  4 Ga 2.94, 4 Ag 2.94
Lu3 0.5000 0.0000 0.5000  4 Ga 2.94, 4 Ag 2.94
Lu4 0.5000 0.5000 0.0000  4 Ga 2.94, 4 Ag 2.94
Ti1 0.0000 0.0000 0.5000  4 Ga 2.94, 4 Ag 2.94
Ti2 0.0000 0.5000 0.0000  4 Ga 2.94, 4 Ag 2.94
Ti3 0.5000 0.0000 0.0000  4 Ga 2.94, 4 Ag 2.94
Ti4 0.5000 0.5000 0.5000  4 Ga 2.94, 4 Ag 2.94
Ga1 0.2500 0.2500 0.7500  4 Ti 2.94, 4 Lu 2.94
Ga2 0.2500 0.7500 0.2500  4 Ti 2.94, 4 Lu 2.94
Ga3 0.7500 0.2500 0.2500  4 Ti 2.94, 4 Lu 2.94
Ga4 0.7500 0.7500 0.7500  4 Ti 2.94, 4 Lu 2.94
Ag1 0.2500 0.2500 0.2500  4 Ti 2.94, 4 Lu 2.94
Ag2 0.2500 0.7500 0.7500  4 Ti 2.94, 4 Lu 2.94
Ag3 0.7500 0.2500 0.7500  4 Ti 2.94, 4 Lu 2.94
Ag4 0.7500 0.7500 0.2500  4 Ti 2.94, 4 Lu 2.94

- ΔH_f (0 K): -0.25 eV/atom

[10]
Material: AlNiPb
Method: DFT, PBE-GGA
State: relaxed

Unit cell a=6.3283 b=6.3283 c=6.3283 alpha=90.00 beta=90.00 gamma=90.00
Last column: nearest neighbours and their distance in Å.
Positions (direct):
Al1 0.0000 0.0000 0.0000  4 Pb 2.74
Al2 0.0000 0.5000 0.5000  4 Pb 2.74
Al3 0.5000 0.0000 0.5000  4 Pb 2.74
Al4 0.5000 0.5000 0.0000  4 Pb 2.74
Ni1 0.0000 0.0000 0.5000  4 Pb 2.74
Ni2 0.0000 0.5000 0.0000  4 Pb 2.74
Ni3 0.5000 0.0000 0.0000  4 Pb 2.74
Ni4 0.5000 0.5000 0.5000  4 Pb 2.74
Pb1 0.2500 0.2500 0.7500  4 Al 2.74, 4 Ni 2.74
Pb2 0.2500 0.7500 0.2500  4 Ni 2.74, 4 Al 2.74
Pb3 0.7500 0.2500 0.2500  4 Ni 2.74, 4 Al 2.74
Pb4 0.7500 0.7500 0.7500  4 Al 2.74, 4 Ni 2.74

- ΔH_f (0 K): 0.50 eV/atom
- Energy above the most stable polymorph in this dataset: 549 meV per atom

[11]
Material: BaB2I
Method: DFT, PBE-GGA
State: relaxed

Unit cell a=7.2243 b=7.2243 c=7.2243 alpha=90.00 beta=90.00 gamma=90.00
Last column: nearest neighbours and their distance in Å.
Positions (direct):
Ba1 0.0000 0.0000 0.0000  8 B 3.13
Ba2 0.0000 0.5000 0.5000  8 B 3.13
Ba3 0.5000 0.0000 0.5000  8 B 3.13
Ba4 0.5000 0.5000 0.0000  8 B 3.13
B1 0.2500 0.2500 0.2500  4 Ba 3.13, 4 I 3.13
B2 0.2500 0.2500 0.7500  4 Ba 3.13, 4 I 3.13
B3 0.2500 0.7500 0.2500  4 Ba 3.13, 4 I 3.13
B4 0.2500 0.7500 0.7500  4 I 3.13, 4 Ba 3.13
B5 0.7500 0.2500 0.2500  4 Ba 3.13, 4 I 3.13
B6 0.7500 0.2500 0.7500  4 I 3.13, 4 Ba 3.13
B7 0.7500 0.7500 0.2500  4 I 3.13, 4 Ba 3.13
B8 0.7500 0.7500 0.7500  4 Ba 3.13, 4 I 3.13
I1 0.0000 0.0000 0.5000  8 B 3.13
I2 0.0000 0.5000 0.0000  8 B 3.13
I3 0.5000 0.0000 0.0000  8 B 3.13
I4 0.5000 0.5000 0.5000  8 B 3.13

- ΔE_f (raw): 5.69 eV per formula unit
- Energy above the most stable polymorph in this dataset: 119 meV per atom

[12]
Material: NiIr2W
Method: DFT, PBE-GGA
State: relaxed

Unit cell a=8.9446 b=2.7305 c=4.6897 alpha=90.00 beta=99.75 gamma=90.00
Last column: nearest neighbours and their distance in Å.
Positions (direct):
Ni1 0.0000 0.0000 0.0000  6 Ir 2.67-2.71, 4 W 2.71, 2 Ni 2.73
Ni2 0.5000 0.5000 0.0000  6 Ir 2.67-2.71, 4 W 2.71, 2 Ni 2.73
Ir1 0.2492 0.0000 0.7556  6 Ir 2.67-2.76, 3 Ni 2.67-2.71, 3 W 2.71-2.72
Ir2 0.2508 0.5000 0.2444  6 Ir 2.67-2.76, 3 Ni 2.67-2.71, 3 W 2.71-2.72
Ir3 0.7492 0.5000 0.7556  6 Ir 2.67-2.76, 3 Ni 2.67-2.71, 3 W 2.71-2.72
Ir4 0.7508 0.0000 0.2444  6 Ir 2.67-2.76, 3 Ni 2.67-2.71, 3 W 2.71-2.72
W1 0.0000 0.5000 0.5000  4 Ni 2.71, 6 Ir 2.71-2.72, 2 W 2.73
W2 0.5000 0.0000 0.5000  4 Ni 2.71, 6 Ir 2.71-2.72, 2 W 2.73

- ΔH_f (0 K): -0.12 eV/atom
- Energy above the most stable polymorph in this dataset: 130 meV per atom

[13]
Material: Y4ThS5
Method: DFT, PBE-GGA
State: relaxed

Unit cell a=10.4692 b=10.4692 c=10.4692 alpha=158.36 beta=149.00 gamma=38.12
Last column: nearest neighbours and their distance in Å.
Positions (direct):
Y1 0.0981 0.0981 0.0000  6 S 2.76-2.81
Y2 0.2998 0.2998 0.0000  6 S 2.73-2.80
Y3 0.7002 0.7002 0.0000  6 S 2.73-2.80
Y4 0.9019 0.9019 0.0000  6 S 2.76-2.81
Th1 0.5000 0.5000 0.0000  6 S 2.80-2.86
S1 0.0000 0.5000 0.5000  4 Y 2.76, 2 Th 2.80
S2 0.1997 0.6997 0.5000  6 Y 2.79-2.81
S3 0.3953 0.8953 0.5000  4 Y 2.73-2.80, 2 Th 2.86
S4 0.6047 0.1047 0.5000  4 Y 2.73-2.80, 2 Th 2.86
S5 0.8003 0.3003 0.5000  6 Y 2.79-2.81

- ΔE_f (raw): -19.49 eV per formula unit